# 1
# AcIClO4, relaxed, DFT PBE
data_AcIClO4
_chemical_formula_sum 'Ac2 I2 Cl2 O8'
_cell_length_a 6.6791
_cell_length_b 6.6791
_cell_length_c 7.1940
_cell_angle_alpha 97.78
_cell_angle_beta 97.78
_cell_angle_gamma 70.97
_space_group_name_H-M_alt 'P 1'
_space_group_IT_number 1
loop_
_space_group_symop_operation_xyz
'x,y,z'
loop_
_atom_site_label
_atom_site_type_symbol
_atom_site_fract_x
_atom_site_fract_y
_atom_site_fract_z
_atom_site_occupancy
Ac1 Ac 0.2162 0.2162 0.1281 1
Ac2 Ac 0.7838 0.7838 0.8719 1
I1 I 0.3725 0.3725 0.7038 1
I2 I 0.6275 0.6275 0.2962 1
Cl1 Cl 0.0314 0.0314 0.7703 1
Cl2 Cl 0.9686 0.9686 0.2297 1
O1 O 0.1430 0.4894 0.8474 1
O2 O 0.2476 0.2476 0.4854 1
O3 O 0.4528 0.4528 0.2131 1
O4 O 0.4894 0.1430 0.8474 1
O5 O 0.5106 0.8570 0.1526 1
O6 O 0.5472 0.5472 0.7869 1
O7 O 0.7524 0.7524 0.5146 1
O8 O 0.8570 0.5106 0.1526 1
# SG: C2/m (12)
# Raw formation energy in eV per formula unit: -9.7

# 2
# Ac4OsI2Cl, relaxed, DFT PBE
data_Ac4OsI2Cl
_chemical_formula_sum 'Ac4 Os1 I2 Cl1'
_cell_length_a 8.0881
_cell_length_b 4.3825
_cell_length_c 8.8999
_cell_angle_alpha 90.00
_cell_angle_beta 106.52
_cell_angle_gamma 90.00
_space_group_name_H-M_alt 'P 1'
_space_group_IT_number 1
loop_
_space_group_symop_operation_xyz
'x,y,z'
loop_
_atom_site_label
_atom_site_type_symbol
_atom_site_fract_x
_atom_site_fract_y
_atom_site_fract_z
_atom_site_occupancy
Ac1 Ac 0.1988 0.0000 0.1885 1
Ac2 Ac 0.2380 0.5000 0.8053 1
Ac3 Ac 0.7620 0.5000 0.1947 1
Ac4 Ac 0.8012 0.0000 0.8115 1
Os1 Os 0.0000 0.5000 0.0000 1
I1 I 0.0000 0.0000 0.5000 1
I2 I 0.5000 0.5000 0.5000 1
Cl1 Cl 0.5000 0.0000 0.0000 1
# SG: P2/m (10)
# Raw formation energy in eV per formula unit: -7.3

# 3
# Ac6Pd2I3Cl, relaxed, DFT PBE
data_Ac6Pd2I3Cl
_chemical_formula_sum 'Ac6 Pd2 I3 Cl1'
_cell_length_a 7.8161
_cell_length_b 7.8161
_cell_length_c 8.7795
_cell_angle_alpha 98.50
_cell_angle_beta 98.50
_cell_angle_gamma 119.93
_space_group_name_H-M_alt 'P 1'
_space_group_IT_number 1
loop_
_space_group_symop_operation_xyz
'x,y,z'
loop_
_atom_site_label
_atom_site_type_symbol
_atom_site_fract_x
_atom_site_fract_y
_atom_site_fract_z
_atom_site_occupancy
Ac1 Ac 0.0788 0.4329 0.8015 1
Ac2 Ac 0.2114 0.2114 0.1945 1
Ac3 Ac 0.4329 0.0788 0.8015 1
Ac4 Ac 0.5671 0.9212 0.1985 1
Ac5 Ac 0.7886 0.7886 0.8055 1
Ac6 Ac 0.9212 0.5671 0.1985 1
Pd1 Pd 0.1673 0.8327 0.0000 1
Pd2 Pd 0.8327 0.1673 0.0000 1
I1 I 0.0000 0.0000 0.5000 1
I2 I 0.3397 0.6603 0.5000 1
I3 I 0.6603 0.3397 0.5000 1
Cl1 Cl 0.5000 0.5000 0.0000 1
# SG: C2/m (12)
# Raw formation energy in eV per formula unit: -12.2

# 4
# Rb2AcI3Cl3, relaxed, DFT PBE
data_Rb2AcI3Cl3
_chemical_formula_sum 'Rb2 Ac1 I3 Cl3'
_cell_length_a 9.6209
_cell_length_b 9.6209
_cell_length_c 4.3483
_cell_angle_alpha 90.00
_cell_angle_beta 90.00
_cell_angle_gamma 120.00
_space_group_name_H-M_alt 'P 1'
_space_group_IT_number 1
loop_
_space_group_symop_operation_xyz
'x,y,z'
loop_
_atom_site_label
_atom_site_type_symbol
_atom_site_fract_x
_atom_site_fract_y
_atom_site_fract_z
_atom_site_occupancy
Rb1 Rb 0.3333 0.6667 0.0000 1
Rb2 Rb 0.6667 0.3333 0.0000 1
Ac1 Ac 0.0000 0.0000 0.5000 1
I1 I 0.0000 0.3801 0.5000 1
I2 I 0.3801 0.0000 0.5000 1
I3 I 0.6199 0.6199 0.5000 1
Cl1 Cl 0.0000 0.7851 0.0000 1
Cl2 Cl 0.2149 0.2149 0.0000 1
Cl3 Cl 0.7851 0.0000 0.0000 1
# SG: P-62m (189)
# Raw formation energy in eV per formula unit: -14.7

# 5
# Ac6Rh3ICl2, relaxed, DFT PBE
data_Ac6Rh3ICl2
_chemical_formula_sum 'Ac6 Rh3 I1 Cl2'
_cell_length_a 10.6414
_cell_length_b 10.6414
_cell_length_c 9.6676
_cell_angle_alpha 111.47
_cell_angle_beta 111.47
_cell_angle_gamma 23.47
_space_group_name_H-M_alt 'P 1'
_space_group_IT_number 1
loop_
_space_group_symop_operation_xyz
'x,y,z'
loop_
_atom_site_label
_atom_site_type_symbol
_atom_site_fract_x
_atom_site_fract_y
_atom_site_fract_z
_atom_site_occupancy
Ac1 Ac 0.0139 0.0139 0.2154 1
Ac2 Ac 0.3195 0.3195 0.4471 1
Ac3 Ac 0.3432 0.3432 0.8931 1
Ac4 Ac 0.6568 0.6568 0.1069 1
Ac5 Ac 0.6805 0.6805 0.5529 1
Ac6 Ac 0.9861 0.9861 0.7846 1
Rh1 Rh 0.1673 0.1673 0.3291 1
Rh2 Rh 0.5000 0.5000 0.0000 1
Rh3 Rh 0.8327 0.8327 0.6709 1
I1 I 0.5000 0.5000 0.5000 1
Cl1 Cl 0.1694 0.1694 0.8376 1
Cl2 Cl 0.8306 0.8306 0.1624 1
# SG: C2/m (12)
# Raw formation energy in eV per formula unit: -14.1

# 6
# Ac3RuICl, relaxed, DFT PBE
data_Ac3RuICl
_chemical_formula_sum 'Ac6 Ru2 I2 Cl2'
_cell_length_a 10.2311
_cell_length_b 4.3613
_cell_length_c 10.3117
_cell_angle_alpha 90.00
_cell_angle_beta 95.27
_cell_angle_gamma 90.00
_space_group_name_H-M_alt 'P 1'
_space_group_IT_number 1
loop_
_space_group_symop_operation_xyz
'x,y,z'
loop_
_atom_site_label
_atom_site_type_symbol
_atom_site_fract_x
_atom_site_fract_y
_atom_site_fract_z
_atom_site_occupancy
Ac1 Ac 0.0754 0.2500 0.3544 1
Ac2 Ac 0.1590 0.2500 0.9271 1
Ac3 Ac 0.3198 0.7500 0.6457 1
Ac4 Ac 0.6802 0.2500 0.3543 1
Ac5 Ac 0.8410 0.7500 0.0729 1
Ac6 Ac 0.9246 0.7500 0.6456 1
Ru1 Ru 0.1251 0.2500 0.6543 1
Ru2 Ru 0.8749 0.7500 0.3457 1
I1 I 0.3861 0.7500 0.3242 1
I2 I 0.6139 0.2500 0.6758 1
Cl1 Cl 0.3663 0.7500 0.9354 1
Cl2 Cl 0.6337 0.2500 0.0646 1
# SG: P2_1/m (11)
# Raw formation energy in eV per formula unit: -5.9

# 7
# Ac8Ru3I4Cl, relaxed, DFT PBE
data_Ac8Ru3I4Cl
_chemical_formula_sum 'Ac8 Ru3 I4 Cl1'
_cell_length_a 10.0083
_cell_length_b 10.0083
_cell_length_c 10.0083
_cell_angle_alpha 52.63
_cell_angle_beta 52.63
_cell_angle_gamma 52.63
_space_group_name_H-M_alt 'P 1'
_space_group_IT_number 1
loop_
_space_group_symop_operation_xyz
'x,y,z'
loop_
_atom_site_label
_atom_site_type_symbol
_atom_site_fract_x
_atom_site_fract_y
_atom_site_fract_z
_atom_site_occupancy
Ac1 Ac 0.2032 0.7414 0.7414 1
Ac2 Ac 0.2295 0.2295 0.2295 1
Ac3 Ac 0.2586 0.2586 0.7968 1
Ac4 Ac 0.2586 0.7968 0.2586 1
Ac5 Ac 0.7414 0.2032 0.7414 1
Ac6 Ac 0.7414 0.7414 0.2032 1
Ac7 Ac 0.7705 0.7705 0.7705 1
Ac8 Ac 0.7968 0.2586 0.2586 1
Ru1 Ru 0.0000 0.0000 0.5000 1
Ru2 Ru 0.0000 0.5000 0.0000 1
Ru3 Ru 0.5000 0.0000 0.0000 1
I1 I 0.0000 0.0000 0.0000 1
I2 I 0.0000 0.5000 0.5000 1
I3 I 0.5000 0.0000 0.5000 1
I4 I 0.5000 0.5000 0.0000 1
Cl1 Cl 0.5000 0.5000 0.5000 1
# SG: R-3m (166)
# Raw formation energy in eV per formula unit: -13.6

# 8
# Ac6Ru2I3Cl, relaxed, DFT PBE
data_Ac6Ru2I3Cl
_chemical_formula_sum 'Ac6 Ru2 I3 Cl1'
_cell_length_a 7.6908
_cell_length_b 7.6908
_cell_length_c 9.0431
_cell_angle_alpha 98.09
_cell_angle_beta 98.09
_cell_angle_gamma 120.00
_space_group_name_H-M_alt 'P 1'
_space_group_IT_number 1
loop_
_space_group_symop_operation_xyz
'x,y,z'
loop_
_atom_site_label
_atom_site_type_symbol
_atom_site_fract_x
_atom_site_fract_y
_atom_site_fract_z
_atom_site_occupancy
Ac1 Ac 0.0743 0.4368 0.8109 1
Ac2 Ac 0.2003 0.2003 0.1880 1
Ac3 Ac 0.4368 0.0743 0.8109 1
Ac4 Ac 0.5632 0.9257 0.1891 1
Ac5 Ac 0.7997 0.7997 0.8120 1
Ac6 Ac 0.9257 0.5632 0.1891 1
Ru1 Ru 0.1667 0.8333 0.0000 1
Ru2 Ru 0.8333 0.1667 0.0000 1
I1 I 0.0000 0.0000 0.5000 1
I2 I 0.3351 0.6649 0.5000 1
I3 I 0.6649 0.3351 0.5000 1
Cl1 Cl 0.5000 0.5000 0.0000 1
# SG: C2/m (12)
# Raw formation energy in eV per formula unit: -11.3

no.,total moment (μB/atom)
1,0.143
2,0.000
3,0.000
4,0.109
5,0.000
6,0.101
7,0.000
8,0.000